(1)
The following is a GGA-PBE calculation of a relaxed Pm12Ho6Al crystal, from the Alexandria database.

```
19
Lattice="-8.247 -0.193 2.274 -1.374 -6.917 -4.846 1.735 -5.191 6.577" Properties=species:S:1:pos:R:3 pbc="T T T"
Pm -1.916 -2.628 -1.237
Pm 0.240 -3.097 1.568
Pm -5.183 -11.196 2.112
Pm -2.703 -1.105 1.893
Pm -5.970 -9.672 5.242
Pm -3.662 -7.185 4.288
Pm -8.126 -9.203 2.437
Pm -1.419 -6.181 1.967
Pm -4.159 -3.992 3.294
Pm -6.467 -6.119 2.038
Pm -3.726 -8.308 0.711
Pm -4.224 -5.116 -0.283
Ho -1.766 -9.878 2.954
Ho -0.995 -4.474 4.838
Ho -6.890 -7.826 -0.833
Ho -6.119 -2.423 1.051
Ho -1.364 -6.329 -1.583
Ho -6.521 -5.972 5.588
Al 0.000 0.000 0.000
```

Values from the calculation:
Its calculated formation energy is 83 meV per atom. Its space group is R-3.

(2)
The following is a GGA-PBE calculation of a relaxed Pm2Ho2Al crystal, from the Alexandria database.

```
5
Lattice="-1.269 -2.150 -3.468 -3.056 -1.906 2.300 -3.393 8.527 -1.413" Properties=species:S:1:pos:R:3 pbc="T T T"
Al 0.000 0.000 0.000
Pm -3.412 2.174 -2.732
Pm -4.306 2.296 0.151
Ho -3.112 -0.917 -0.925
Ho -4.606 5.388 -1.656
```

Values from the calculation:
Its calculated formation energy is 443 meV per atom. Its space group is I4/mmm. The relative energy among the computed polymorphs is 439 meV/atom.

(3)
The following is a GGA-PBE calculation of a relaxed Pm2Ho2Al crystal, from the Alexandria database.

```
10
Lattice="-5.153 1.343 -0.745 1.771 -4.831 -1.560 -2.718 -4.465 10.745" Properties=species:S:1:pos:R:3 pbc="T T T"
Ho 0.000 0.000 0.000
Ho -1.216 -3.889 1.398
Ho -4.883 -4.064 7.042
Ho -1.359 -2.232 5.372
Pm -3.097 -1.130 -0.018
Pm -2.148 -5.420 5.083
Pm -3.951 -2.532 3.357
Pm -3.002 -6.823 8.458
Al -0.679 -1.116 2.686
Al -2.038 -3.349 8.059
```

Values from the calculation:
Its calculated formation energy is 5 meV per atom. Its space group is P6_3/mmc. The relative energy among the computed polymorphs is 0 meV/atom.

(4)
The following is a GGA-PBE calculation of a relaxed Pm6HoAl2 crystal, from the Alexandria database.

```
9
Lattice="3.719 0.000 0.590 1.638 6.256 1.692 0.049 -0.101 11.698" Properties=species:S:1:pos:R:3 pbc="T T T"
Al 3.923 5.552 11.312
Al 1.483 0.603 2.669
Ho 0.000 0.000 0.000
Pm 2.022 2.998 11.277
Pm 2.474 4.866 8.432
Pm 0.577 1.644 8.370
Pm 2.932 1.290 5.549
Pm 4.828 4.511 5.611
Pm 3.383 3.157 2.704
```

Values from the calculation:
Its calculated formation energy is -145 meV per atom. Its space group is C2/m.

(5)
The following is a GGA-PBE calculation of a relaxed PmHo5Al crystal, from the Alexandria database.

```
7
Lattice="-6.015 0.527 -0.899 -1.293 -5.186 5.611 3.450 6.514 1.464" Properties=species:S:1:pos:R:3 pbc="T T T"
Pm -4.980 0.437 -0.744
Ho -1.372 2.257 1.770
Ho -2.276 -0.807 0.763
Ho -0.864 -2.574 2.773
Ho -5.021 -0.180 4.028
Ho -3.078 -4.023 4.242
Al -4.075 -2.292 2.293
```

Values from the calculation:
Its calculated formation energy is 709 meV per atom. Its space group is Imm2.

(6)
The following is a GGA-PBE calculation of a relaxed PmHo5Al2 crystal, from the Alexandria database.

```
8
Lattice="3.554 0.000 0.000 1.777 8.039 -0.426 1.777 2.012 7.795" Properties=species:S:1:pos:R:3 pbc="T T T"
Ho 3.554 7.765 2.849
Ho 1.777 5.026 3.685
Ho 3.554 5.053 6.548
Ho 3.554 4.999 0.821
Ho 3.554 2.287 4.520
Al 5.332 7.616 5.583
Al 1.777 2.436 1.786
Pm 0.000 0.000 0.000
```

Values from the calculation:
Its calculated formation energy is -99 meV per atom. Its space group is Immm.

(7)
The following is a GGA-PBE calculation of a relaxed PmHo3Al2 crystal, from the Alexandria database.

```
12
Lattice="5.206 0.000 0.000 -2.603 8.548 -0.899 0.000 -4.533 7.738" Properties=species:S:1:pos:R:3 pbc="T T T"
Ho 2.603 4.811 3.798
Ho 2.603 1.468 2.624
Ho 0.000 2.548 4.215
Ho 2.603 -1.180 5.227
Ho 0.000 5.195 1.612
Ho 0.000 -0.795 3.041
Al 0.000 7.657 0.026
Al 0.000 0.049 6.260
Al 2.603 -3.642 6.813
Al 2.603 3.966 0.579
Pm 0.000 1.875 0.392
Pm 2.603 2.140 6.447
```

Values from the calculation:
Its calculated formation energy is -188 meV per atom. Its space group is C2/m. The relative energy among the computed polymorphs is 68 meV/atom.

(8)
The following is a GGA-PBE calculation of a relaxed Pm14HoAl crystal, from the Alexandria database.

```
16
Lattice="6.978 -0.012 0.000 -1.851 6.728 0.000 0.000 0.000 11.267" Properties=species:S:1:pos:R:3 pbc="T T T"
Pm 0.114 2.106 2.609
Pm 3.125 6.050 2.609
Pm 1.973 0.746 5.634
Pm 2.079 0.665 0.000
Pm 3.573 2.587 2.625
Pm 1.555 4.128 5.634
Pm 0.114 2.106 8.658
Pm -0.263 5.516 2.907
Pm 3.573 2.587 8.643
Pm 4.927 4.616 5.634
Pm 3.125 6.050 8.658
Pm 5.351 1.230 5.634
Pm -0.263 5.516 8.361
Pm 5.033 4.535 0.000
Ho 1.531 4.146 0.000
Al 5.466 1.142 0.000
```

Values from the calculation:
Its calculated formation energy is 19 meV per atom. Its space group is Amm2.

(9)
The following is a GGA-PBE calculation of a relaxed PmHo12Al6 crystal, from the Alexandria database.

```
19
Lattice="8.568 0.091 0.127 -2.036 8.323 0.127 -2.036 -2.623 7.900" Properties=species:S:1:pos:R:3 pbc="T T T"
Ho 2.248 -1.252 7.023
Ho 1.934 5.441 4.538
Ho 2.248 7.043 1.133
Ho 6.266 3.924 1.133
Ho 2.561 3.299 1.523
Ho 2.561 0.350 3.617
Ho -1.770 6.015 4.078
Ho 4.791 3.223 4.538
Ho 1.934 2.492 6.633
Ho -0.296 2.568 3.617
Ho -1.770 1.867 7.023
Ho 6.266 -0.224 4.078
Al 0.174 5.216 2.059
Al 4.321 0.575 6.097
Al 0.174 0.225 5.603
Al -0.514 4.329 6.097
Al 4.321 5.566 2.553
Al 5.010 1.462 2.059
Pm 0.000 0.000 0.000
```

Values from the calculation:
Its calculated formation energy is 9 meV per atom. Its space group is R-3m.

(10)
The following is a GGA-PBE calculation of a relaxed PmHo4Al5 crystal, from the Alexandria database.

```
10
Lattice="3.597 0.000 0.000 0.000 3.597 0.000 0.000 0.000 18.119" Properties=species:S:1:pos:R:3 pbc="T T T"
Ho 0.000 0.000 3.716
Ho 0.000 0.000 10.839
Ho 0.000 0.000 7.280
Ho 0.000 0.000 14.402
Al 1.798 1.798 16.167
Al 1.798 1.798 9.059
Al 1.798 1.798 1.951
Al 1.798 1.798 5.497
Al 1.798 1.798 12.622
Pm 0.000 0.000 0.000
```

Values from the calculation:
Its calculated formation energy is -390 meV per atom. Its space group is P4/mmm.

(11)
The following is a GGA-PBE calculation of a relaxed Pm6Ho2Al crystal, from the Alexandria database.

```
9
Lattice="-3.186 -1.358 -0.841 -2.174 -0.602 9.208 -2.159 8.367 -4.843" Properties=species:S:1:pos:R:3 pbc="T T T"
Pm -2.223 -0.853 2.248
Pm -3.137 -1.107 6.119
Pm -4.602 1.179 0.659
Pm -1.486 5.625 -3.195
Pm -6.033 0.782 6.720
Pm -2.917 5.228 2.865
Ho -3.805 1.894 4.106
Ho -3.714 4.513 -0.582
Al 0.000 0.000 0.000
```

Values from the calculation:
Its calculated formation energy is 73 meV per atom. Its space group is C2/m.

(12)
The following is a GGA-PBE calculation of a relaxed Pm7HoAl4 crystal, from the Alexandria database.

```
12
Lattice="5.619 0.000 0.000 2.809 8.842 0.329 2.809 0.557 7.016" Properties=species:S:1:pos:R:3 pbc="T T T"
Pm 8.428 8.079 4.032
Pm 8.428 3.832 5.349
Pm 5.619 6.158 5.563
Pm 5.619 3.241 1.783
Pm 2.809 5.567 1.996
Pm 2.809 0.000 0.000
Pm 2.809 1.320 3.313
Al 8.428 6.458 7.109
Al 5.619 6.914 2.667
Al 2.809 2.941 0.236
Al 5.619 2.485 4.678
Ho 0.000 0.000 0.000
```

Values from the calculation:
Its calculated formation energy is -66 meV per atom. Its space group is C2/m.

(13)
The following is a GGA-PBE calculation of a relaxed PmHo3Al crystal, from the Alexandria database.

```
10
Lattice="3.602 0.000 0.000 1.801 6.450 0.555 -0.001 -0.059 12.469" Properties=species:S:1:pos:R:3 pbc="T T T"
Ho 1.801 4.599 6.020
Ho 3.602 1.792 7.004
Ho 1.801 6.031 2.952
Ho 3.602 0.360 10.072
Ho 3.601 4.654 12.657
Ho 1.801 1.737 0.367
Al 1.801 0.585 4.808
Al 3.601 5.806 8.217
Pm 1.800 3.513 9.623
Pm 3.602 2.879 3.402
```

Values from the calculation:
Its calculated formation energy is -138 meV per atom. Its space group is C2/m. The relative energy among the computed polymorphs is 0 meV/atom.

(14)
The following is a GGA-PBE calculation of a relaxed Pm3HoAl2 crystal, from the Alexandria database.

```
12
Lattice="-0.171 -4.921 0.166 5.130 0.065 7.231 -8.655 2.794 0.680" Properties=species:S:1:pos:R:3 pbc="T T T"
Ho 0.000 0.000 0.000
Ho 2.565 0.033 3.615
Al -1.706 0.286 6.643
Al 0.575 -2.316 5.048
Al -4.271 0.253 3.028
Al -1.990 -2.348 1.433
Pm 1.197 -2.444 1.890
Pm 3.762 -2.412 5.506
Pm 1.677 0.179 6.962
Pm -0.888 0.146 3.346
Pm -2.807 -2.208 4.730
Pm -5.372 -2.241 1.114
```

Values from the calculation:
Its calculated formation energy is -190 meV per atom. Its space group is Cmmm. The relative energy among the computed polymorphs is 76 meV/atom.

(15)
The following is a GGA-PBE calculation of a relaxed Pm3Ho2Al3 crystal, from the Alexandria database.

```
8
Lattice="3.721 0.000 0.000 0.000 5.276 0.000 -1.860 -2.638 10.946" Properties=species:S:1:pos:R:3 pbc="T T T"
Pm 1.860 0.000 0.000
Pm 0.000 0.000 8.315
Pm 1.860 2.638 2.631
Al 0.000 2.638 0.000
Al 0.000 0.000 2.617
Al 1.860 2.638 8.328
Ho 1.860 0.000 5.050
Ho 0.000 2.638 5.896
```

Values from the calculation:
Its calculated formation energy is -278 meV per atom. Its space group is Immm. The relative energy among the computed polymorphs is 0 meV/atom.

(16)
The following is a GGA-PBE calculation of a relaxed PmHo5Al3 crystal, from the Alexandria database.

```
18
Lattice="6.640 0.000 0.000 0.000 9.087 0.000 0.000 -4.543 7.869" Properties=species:S:1:pos:R:3 pbc="T T T"
Ho 3.320 4.543 2.623
Ho 1.660 6.068 0.000
Ho 0.000 4.543 2.623
Ho 4.980 3.034 5.255
Ho 1.660 1.509 2.614
Ho 4.980 7.577 2.614
Ho 0.000 0.000 5.245
Ho 4.980 3.019 0.000
Ho 1.660 -3.034 5.255
Ho 3.320 0.000 5.245
Al 1.660 3.006 5.206
Al 4.980 6.011 0.000
Al 1.660 3.075 0.000
Al 1.660 -1.538 2.663
Al 4.980 6.081 5.206
Al 4.980 1.538 2.663
Pm 3.320 0.000 0.000
Pm 0.000 0.000 0.000
```

Values from the calculation:
Its calculated formation energy is -261 meV per atom. Its space group is P6_3/mcm.

(17)
The following is a GGA-PBE calculation of a relaxed Pm2Ho4Al crystal, from the Alexandria database.

```
7
Lattice="3.602 0.000 0.000 1.801 3.119 0.000 1.801 1.040 19.083" Properties=species:S:1:pos:R:3 pbc="T T T"
Ho 1.801 1.040 2.233
Ho 1.801 1.040 13.967
Ho 5.403 3.119 5.116
Ho 5.403 3.119 16.850
Pm 1.801 1.040 8.003
Pm 5.403 3.119 11.080
Al 0.000 0.000 0.000
```

Values from the calculation:
Its calculated formation energy is -29 meV per atom. Its space group is R-3m.

(18)
The following is a GGA-PBE calculation of a relaxed Pm5HoAl2 crystal, from the Alexandria database.

```
16
Lattice="5.399 0.000 0.000 -2.700 4.676 0.000 0.000 0.000 19.967" Properties=species:S:1:pos:R:3 pbc="T T T"
Al 0.000 3.117 7.962
Al 2.700 1.559 17.946
Al 2.700 1.559 12.005
Al 0.000 3.117 2.021
Pm 2.700 1.559 4.992
Pm 0.000 3.117 14.975
Pm 0.000 0.000 16.861
Pm 0.000 3.117 11.088
Pm 0.000 3.117 18.863
Pm 0.000 0.000 13.090
Pm 0.000 0.000 6.877
Pm 0.000 0.000 3.107
Pm 2.700 1.559 1.105
Pm 2.700 1.559 8.879
Ho 0.000 3.117 4.992
Ho 2.700 1.559 14.975
```

Values from the calculation:
Its calculated formation energy is -29 meV per atom. Its space group is P6_3/mmc. The relative energy among the computed polymorphs is 33 meV/atom.

(19)
The following is a GGA-PBE calculation of a relaxed Pm4HoAl5 crystal, from the Alexandria database.

```
10
Lattice="-2.227 0.982 2.753 -2.427 -2.550 -1.053 8.156 -12.299 10.988" Properties=species:S:1:pos:R:3 pbc="T T T"
Pm 6.562 -9.895 8.841
Pm 4.905 -7.397 6.609
Pm 1.594 -2.403 2.147
Pm 3.251 -4.902 4.380
Al 5.077 -11.949 10.825
Al 1.751 -6.933 6.344
Al 0.096 -4.438 4.114
Al 3.406 -9.429 8.573
Al -1.575 -1.918 1.863
Ho 0.000 0.000 0.000
```

Values from the calculation:
Its calculated formation energy is -375 meV per atom. Its space group is P4/mmm.

(20)
The following is a GGA-PBE calculation of a relaxed Pm2HoAl3 crystal, from the Alexandria database.

```
6
Lattice="3.647 0.000 0.000 0.000 3.647 0.000 0.000 0.000 11.059" Properties=species:S:1:pos:R:3 pbc="T T T"
Al 0.000 0.000 3.808
Al 0.000 0.000 0.000
Al 0.000 0.000 7.252
Ho 1.823 1.823 5.530
Pm 1.823 1.823 1.892
Pm 1.823 1.823 9.167
```

Values from the calculation:
Its calculated formation energy is -379 meV per atom. Its space group is P4/mmm.

(21)
The following is a GGA-PBE calculation of a relaxed PmHo5Al6 crystal, from the Alexandria database.

```
12
Lattice="-0.663 -4.844 1.404 -2.250 -1.623 -6.664 6.856 -3.998 -1.341" Properties=species:S:1:pos:R:3 pbc="T T T"
Ho -1.125 -0.812 -3.332
Ho 0.907 -3.752 -3.302
Ho 2.077 -2.950 0.018
Ho 3.036 -6.713 -3.299
Ho 4.116 -5.891 0.045
Al 2.748 -4.674 -5.614
Al -2.011 -3.634 -4.273
Al 1.195 -5.791 -0.987
Al 3.850 -3.878 -2.349
Al -0.902 -2.833 -0.987
Al 0.093 -6.586 -4.252
Pm 0.000 0.000 0.000
```

Values from the calculation:
Its calculated formation energy is -391 meV per atom. Its space group is Cmmm.